First-principles (PBE) data for an optimized crystal structure of Ta4GaSb, as listed in OQMD.

The structure in POSCAR format:
```
Ta4GaSb
1.0
-2.129 -4.189 -2.688
0.983 -3.104 4.324
-4.202 1.042 1.704
Ga Sb Ta
1 1 4
Direct
0.000 0.000 0.500 Ga
0.500 0.500 0.000 Sb
0.836 0.164 0.000 Ta
0.164 0.836 0.000 Ta
0.319 0.319 0.500 Ta
0.681 0.681 0.500 Ta
```

Output
Spin magnetization ... 0.0 Bohr magnetons per cell
Total DFT energy (no corrections) ... -0.5826 Ry/atom
Symmetry ... Cmmm (65)

---

First-principles (PBE) data for an optimized crystal structure of GaTcSb, as listed in OQMD.

The structure in POSCAR format:
```
GaTcSb
1.0
0.000 3.116 3.116
3.116 0.000 3.116
3.116 3.116 0.000
Ga Sb Tc
1 1 1
Direct
0.250 0.250 0.250 Ga
0.750 0.750 0.750 Sb
0.000 0.000 0.000 Tc
```

Output
Spin magnetization ... 0.0 Bohr magnetons per cell
Total DFT energy (no corrections) ... -0.4164 Ry/atom
Symmetry ... F-43m (216)
Excess energy over the best structure of this formula in the dataset ... 0 meV per atom

---

First-principles (PBE) data for an optimized crystal structure of UGa2Sb, as listed in OQMD.

The structure in POSCAR format:
```
UGa2Sb
1.0
4.370 0.000 0.000
0.000 4.370 0.000
0.000 0.000 4.390
Ga Sb U
2 1 1
Direct
0.500 0.000 0.000 Ga
0.000 0.500 0.000 Ga
0.000 0.000 0.500 Sb
0.500 0.500 0.500 U
```

Output
Spin magnetization ... 2.0 Bohr magnetons per cell
Total DFT energy (no corrections) ... -0.4131 Ry/atom
Symmetry ... P4/mmm (123)